1.
5
Lattice="-1.8391 -4.6301 -1.3820 -1.1691 -1.0084 4.9342 -4.6883 2.0676 -0.6883" Properties=species:S:1:pos:R:3 comment="SrZr3Ag (PBE-GGA, relaxed)" relative_energy_ev_per_atom=1.083 pbc="T T T"
Zr -0.5845 -0.5042 2.4671
Zr -2.3442 1.0338 -0.3441
Zr -0.9195 -2.3150 -0.6910
Sr 0.0000 0.0000 0.0000
Ag -3.8482 -1.7854 1.4320

***

2.
4
Lattice="5.5397 0.0122 0.0093 4.5637 3.1403 0.0093 1.2968 0.4046 6.2003" Properties=species:S:1:pos:R:3 comment="SrZr2Ag (PBE-GGA, relaxed)" relative_energy_ev_per_atom=0.228 pbc="T T T"
Zr 8.7226 2.7216 4.8830
Zr 1.3963 0.4357 5.6216
Sr 2.7500 0.8580 1.7737
Ag 5.5283 1.7250 3.2503

***

3.
A plane-wave DFT calculation with PBE-GGA was carried out for a relaxed structure of Sr2Zr2Ag.

Structure (extended XYZ):
```
5
Lattice="-1.9998 1.9998 10.3368 1.9998 -1.9998 10.3368 1.9998 1.9998 -10.3368" Properties=species:S:1:pos:R:3 pbc="T T T"
Zr 0.0000 1.9998 5.1684
Zr 1.9998 0.0000 5.1684
Sr 0.0000 0.0000 12.2845
Sr 0.0000 0.0000 8.3892
Ag 0.0000 0.0000 0.0000
```

***

no.,calculated formation energy (kJ/mol of atoms)
1,182
2,28
3,28